No. 1
VASP calculation (GGA-PBE) on a relaxed RbTh2F8 crystal.

space group: C2/m, No. 12
E_tot: -6.544 eV per atom
ΔE_f (raw): -3746 meV/atom
M_tot: 1.009 μB/cell
crystal system: monoclinic

abc: 4.5958 6.8382 6.8382
angles: 114.14 94.40 94.40
Last column: nearest neighbours and their distance in Å.
Element x y z (fractional)
F 0.7590 0.6020 0.6020  2 Th 2.40, 1 F 2.66
F 0.4485 0.9586 0.6620  2 Th 2.39-2.46, 1 F 2.58
F 0.2413 0.3910 0.3910  2 Th 2.40, 1 F 2.66
F 0.9999 0.2680 0.7258  2 Th 2.38
F 0.9999 0.7258 0.2680  2 Th 2.38
F 0.5519 0.3323 0.0355  2 Th 2.39-2.46, 1 F 2.58
F 0.4485 0.6620 0.9586  2 Th 2.39-2.46, 1 F 2.58
F 0.5519 0.0355 0.3323  2 Th 2.39-2.46, 1 F 2.58
Th 0.4998 0.6712 0.3227  8 F 2.38-2.46
Th 0.4998 0.3227 0.6712  8 F 2.38-2.46
Rb 0.9998 0.9969 0.9969  12 F 2.98-3.21

=====

No. 2
VASP calculation (GGA-PBE) on a relaxed CePm4Y crystal.

space group: Imma, No. 74
E_tot: -4.974 eV per atom
formation enthalpy at 0 K: 0.26 eV per atom
M_tot: 2.958 μB/cell
crystal system: orthorhombic

abc: 6.7246 11.7639 8.4957
angles: 133.82 113.31 90.00
Last column: nearest neighbours and their distance in Å.
Element x y z (fractional)
Pm 0.6675 0.6700 0.8399  5 Pm 3.33-3.52, 1 Y 3.38, 2 Ce 3.48
Pm 0.8276 0.3300 0.1601  5 Pm 3.33-3.52, 1 Y 3.38, 2 Ce 3.48
Pm 0.8325 0.8328 0.6650  3 Ce 3.41-3.78, 5 Pm 3.43-3.76, 2 Y 3.49
Pm 0.1675 0.1672 0.3350  3 Ce 3.41-3.78, 5 Pm 3.43-3.76, 2 Y 3.49
Pm 0.3325 0.3300 0.1601  5 Pm 3.33-3.52, 1 Y 3.38, 2 Ce 3.48
Pm 0.1724 0.6700 0.8399  5 Pm 3.33-3.52, 1 Y 3.38, 2 Ce 3.48
Pm 0.8325 0.3322 0.6650  3 Ce 3.41-3.78, 5 Pm 3.43-3.76, 2 Y 3.49
Pm 0.1675 0.6678 0.3350  3 Ce 3.41-3.78, 5 Pm 3.43-3.76, 2 Y 3.49
Ce 0.5000 0.0000 0.0000  10 Pm 3.41-3.78
Ce 0.5000 0.5000 0.0000  10 Pm 3.41-3.78
Y 0.0000 0.0000 0.5000  2 Y 3.36, 6 Pm 3.38-3.49
Y 0.5000 0.0000 0.5000  2 Y 3.36, 6 Pm 3.38-3.49

=====

No. 3
VASP calculation (GGA-PBE) on a relaxed TlW2Au crystal.

space group: Cm, No. 8
E_tot: -7.129 eV per atom
formation enthalpy at 0 K: 0.76 eV per atom
M_tot: 0.000 μB/cell
crystal system: monoclinic

abc: 5.0981 5.0981 5.2603
angles: 84.27 84.27 32.19
Last column: nearest neighbours and their distance in Å.
Element x y z (fractional)
Tl 0.2495 0.2495 0.2631  3 Au 2.81-3.02, 2 Tl 2.83, 7 W 2.95-3.11
W 0.7541 0.7541 0.7704  5 W 2.75-2.94, 4 Tl 2.95-3.02, 3 Au 2.99-3.05
W 0.0019 0.0019 0.9707  5 W 2.75-2.94, 2 Au 2.88, 1 Tl 3.00
Au 0.4945 0.4945 0.4958  3 Tl 2.81-3.02, 2 Au 2.83, 7 W 2.88-3.10

=====

No. 4
VASP calculation (GGA-PBE) on a relaxed CsCaPu2Br8 crystal.

space group: P-1, No. 2
E_tot: -5.403 eV per atom
ΔE_f (raw): -1661 meV/atom
M_tot: 11.000 μB/cell
crystal system: triclinic

abc: 7.2422 7.0225 9.3156
angles: 89.92 89.96 87.98
Last column: nearest neighbours and their distance in Å.
Element x y z (fractional)
Br 0.8347 0.2568 0.7907  1 Ca 2.89, 1 Pu 2.93
Br 0.3427 0.2657 0.0002  2 Pu 3.04-3.05, 1 Ca 3.16
Br 0.3970 0.2726 0.5004  2 Pu 2.98-2.99
Br 0.6573 0.7343 0.9998  2 Pu 3.04-3.05, 1 Ca 3.16
Br 0.1653 0.7432 0.2093  1 Ca 2.89, 1 Pu 2.93
Br 0.1662 0.7441 0.7911  1 Ca 2.88, 1 Pu 2.93
Br 0.6030 0.7274 0.4996  2 Pu 2.98-2.99
Br 0.8338 0.2559 0.2089  1 Ca 2.88, 1 Pu 2.93
Cs 0.0000 0.0000 0.5000  6 Br 3.45-3.51
Ca 0.0000 0.0000 0.0000  6 Br 2.88-3.16
Pu 0.5002 0.5000 0.7567  6 Br 2.93-3.05
Pu 0.4998 0.5000 0.2433  6 Br 2.93-3.05

=====

No. 5
VASP calculation (GGA-PBE) on a relaxed LiBe2GeAu4 crystal.

space group: R-3m, No. 166
E_tot: -3.506 eV per atom
formation enthalpy at 0 K: -0.12 eV per atom
M_tot: 0.000 μB/cell
crystal system: trigonal

abc: 4.2530 4.2530 8.1054
angles: 74.79 74.79 60.00
Last column: nearest neighbours and their distance in Å.
Element x y z (fractional)
Au 0.1259 0.1259 0.6223  4 Be 2.47-2.52, 3 Li 2.63
Au 0.3858 0.3858 0.8425  1 Li 2.65, 3 Be 2.70, 3 Ge 2.74
Au 0.6142 0.6142 0.1575  1 Li 2.65, 3 Be 2.70, 3 Ge 2.74
Au 0.8741 0.8741 0.3777  4 Be 2.47-2.52, 3 Li 2.63
Li 0.5000 0.5000 0.5000  8 Au 2.63-2.65, 6 Be 2.89
Be 0.7674 0.7674 0.6978  7 Au 2.47-2.70
Be 0.2326 0.2326 0.3022  7 Au 2.47-2.70
Ge 0.0000 0.0000 0.0000  8 Au 2.74-2.92

=====

No. 6
VASP calculation (GGA-PBE) on a relaxed IrRh2 crystal.

space group: P-62m, No. 189
E_tot: -7.762 eV per atom
formation enthalpy at 0 K: 0.09 eV per atom
M_tot: 0.000 μB/cell
crystal system: hexagonal

abc: 7.4394 7.4394 2.7254
angles: 90.00 90.00 120.00
Last column: nearest neighbours and their distance in Å.
Element x y z (fractional)
Ir 0.0000 0.0000 0.5000  9 Rh 2.61-2.73, 2 Ir 2.73
Ir 0.3333 0.6667 0.0000  9 Rh 2.62-2.73, 2 Ir 2.73
Ir 0.6667 0.3333 0.0000  9 Rh 2.62-2.73, 2 Ir 2.73
Rh 0.0000 0.2992 0.0000  4 Ir 2.61-2.62, 8 Rh 2.73-2.86
Rh 0.6325 0.0000 0.5000  8 Rh 2.73-2.86, 5 Ir 2.73
Rh 0.3675 0.3675 0.5000  8 Rh 2.73-2.86, 5 Ir 2.73
Rh 0.7008 0.7008 0.0000  4 Ir 2.61-2.62, 8 Rh 2.73-2.86
Rh 0.2992 0.0000 0.0000  4 Ir 2.61-2.62, 8 Rh 2.73-2.86
Rh 0.0000 0.6325 0.5000  8 Rh 2.73-2.86, 5 Ir 2.73

=====

No. 7
VASP calculation (GGA-PBE) on a relaxed TmAgBi crystal.

space group: R-3m, No. 166
E_tot: -3.944 eV per atom
formation enthalpy at 0 K: -0.21 eV per atom
M_tot: 0.000 μB/cell
crystal system: trigonal

abc: 5.2025 5.2025 7.6706
angles: 70.18 70.18 60.00
Last column: nearest neighbours and their distance in Å.
Element x y z (fractional)
Tm 0.2769 0.2769 0.1694  4 Ag 2.94-3.05
Tm 0.7231 0.7231 0.8306  4 Ag 2.94-3.05
Bi 0.8802 0.8802 0.3594  3 Ag 3.11, 4 Tm 3.29-3.33
Bi 0.1198 0.1198 0.6406  3 Ag 3.11, 4 Tm 3.29-3.33
Ag 0.5844 0.5844 0.2467  4 Tm 2.94-3.05, 3 Bi 3.11
Ag 0.4156 0.4156 0.7533  4 Tm 2.94-3.05, 3 Bi 3.11

=====

No. 8
VASP calculation (GGA-PBE) on a relaxed PrGa2Cu10 crystal.

space group: Fmmm, No. 69
E_tot: -4.086 eV per atom
formation enthalpy at 0 K: -0.10 eV per atom
M_tot: 0.000 μB/cell
crystal system: orthorhombic

abc: 4.9305 6.6725 6.5320
angles: 81.98 67.83 68.32
Last column: nearest neighbours and their distance in Å.
Element x y z (fractional)
Cu 0.7252 0.7776 0.7720  7 Cu 2.48-2.76, 2 Ga 2.53
Cu 0.5028 0.2224 0.7720  7 Cu 2.48-2.76, 2 Ga 2.53
Cu 0.3566 0.6498 0.6371  7 Cu 2.49-2.77, 2 Ga 2.68
Cu 0.2748 0.2224 0.2280  7 Cu 2.48-2.76, 2 Ga 2.53
Cu 0.0000 0.0000 0.5000  10 Cu 2.47-2.63
Cu 0.4972 0.7776 0.2280  7 Cu 2.48-2.76, 2 Ga 2.53
Cu 0.5000 0.0000 0.5000  10 Cu 2.47-2.63
Cu 0.6434 0.3502 0.3629  7 Cu 2.49-2.77, 2 Ga 2.68
Cu 0.9936 0.6498 0.3629  7 Cu 2.49-2.77, 2 Ga 2.68
Cu 0.0064 0.3502 0.6371  7 Cu 2.49-2.77, 2 Ga 2.68
Pr 0.0000 0.0000 0.0000  16 Cu 3.09-3.27, 4 Ga 3.34
Ga 0.0000 0.5000 0.0000  2 Ga 2.47, 8 Cu 2.53-2.68
Ga 0.5000 0.5000 0.0000  2 Ga 2.47, 8 Cu 2.53-2.68

=====

No. 9
VASP calculation (GGA-PBE) on a relaxed Tb2ThSe4 crystal.

space group: Imma, No. 74
E_tot: -6.171 eV per atom
ΔE_f (raw): -1797 meV/atom
M_tot: 0.000 μB/cell
crystal system: orthorhombic

abc: 8.3268 8.2125 8.2125
angles: 60.12 59.54 59.54
Last column: nearest neighbours and their distance in Å.
Element x y z (fractional)
Se 0.7442 0.2499 0.2618  3 Tb 2.89-2.95, 2 Th 2.96
Se 0.2474 0.2483 0.7483  3 Tb 2.86-2.90, 1 Th 2.90
Se 0.7526 0.7517 0.2517  3 Tb 2.86-2.90, 1 Th 2.90
Se 0.7442 0.7618 0.7499  3 Tb 2.89-2.95, 2 Th 2.96
Se 0.2558 0.2382 0.2501  3 Tb 2.89-2.95, 2 Th 2.96
Se 0.2440 0.7517 0.2517  3 Tb 2.86-2.90, 1 Th 2.90
Se 0.2558 0.7501 0.7382  3 Tb 2.89-2.95, 2 Th 2.96
Se 0.7560 0.2483 0.7483  3 Tb 2.86-2.90, 1 Th 2.90
Th 0.0000 0.5000 0.0000  6 Se 2.90-2.96
Th 0.5000 0.5000 0.0000  6 Se 2.90-2.96
Tb 0.5000 0.0000 0.5000  6 Se 2.86-2.89
Tb 0.0000 0.0000 0.0000  6 Se 2.90-2.95
Tb 0.0000 0.0000 0.5000  6 Se 2.86-2.89
Tb 0.0000 0.5000 0.5000  6 Se 2.90-2.95

=====

No. 10
VASP calculation (GGA-PBE) on a relaxed AcTbY6Tm2 crystal.

space group: C2/c, No. 15
E_tot: -5.518 eV per atom
formation enthalpy at 0 K: 0.13 eV per atom
M_tot: 0.000 μB/cell
crystal system: monoclinic

abc: 9.5137 8.9110 8.9110
angles: 116.98 92.54 92.54
Last column: nearest neighbours and their distance in Å.
Element x y z (fractional)
Tb 0.2500 0.4133 0.5867  6 Y 3.45-3.51, 4 Tm 3.55-3.83
Tb 0.7500 0.5867 0.4133  6 Y 3.45-3.51, 4 Tm 3.55-3.83
Y 0.1123 0.7108 0.4857  4 Y 3.26-3.49, 3 Tm 3.29-3.47, 2 Tb 3.45-3.51
Y 0.9427 0.8760 0.2444  7 Y 3.44-3.83, 1 Tm 3.56, 2 Ac 3.79-3.80
Y 0.4427 0.2444 0.8760  7 Y 3.44-3.83, 1 Tm 3.56, 2 Ac 3.79-3.80
Y 0.3877 0.5143 0.2892  4 Y 3.26-3.49, 3 Tm 3.29-3.47, 2 Tb 3.45-3.51
Y 0.5573 0.7556 0.1240  7 Y 3.44-3.83, 1 Tm 3.56, 2 Ac 3.79-3.80
Y 0.8201 0.4478 0.9906  5 Y 3.26-3.65, 2 Tm 3.43-3.50, 1 Tb 3.50, 1 Ac 3.64
Y 0.6799 0.0094 0.5522  5 Y 3.26-3.65, 2 Tm 3.43-3.50, 1 Tb 3.50, 1 Ac 3.64
Y 0.0573 0.1240 0.7556  7 Y 3.44-3.83, 1 Tm 3.56, 2 Ac 3.79-3.80
Y 0.8877 0.2892 0.5143  4 Y 3.26-3.49, 3 Tm 3.29-3.47, 2 Tb 3.45-3.51
Y 0.1799 0.5522 0.0094  5 Y 3.26-3.65, 2 Tm 3.43-3.50, 1 Tb 3.50, 1 Ac 3.64
Y 0.3201 0.9906 0.4478  5 Y 3.26-3.65, 2 Tm 3.43-3.50, 1 Tb 3.50, 1 Ac 3.64
Y 0.6123 0.4857 0.7108  4 Y 3.26-3.49, 3 Tm 3.29-3.47, 2 Tb 3.45-3.51
Ac 0.2500 0.9672 0.0328  4 Tm 3.45-3.60, 6 Y 3.64-3.80
Ac 0.7500 0.0328 0.9672  4 Tm 3.45-3.60, 6 Y 3.64-3.80
Tm 0.5521 0.2026 0.3136  6 Y 3.29-3.56, 2 Ac 3.45-3.60, 1 Tb 3.55
Tm 0.4479 0.7974 0.6864  6 Y 3.29-3.56, 2 Ac 3.45-3.60, 1 Tb 3.55
Tm 0.9479 0.6864 0.7974  6 Y 3.29-3.56, 2 Ac 3.45-3.60, 1 Tb 3.55
Tm 0.0521 0.3136 0.2026  6 Y 3.29-3.56, 2 Ac 3.45-3.60, 1 Tb 3.55

=====

No. 11
VASP calculation (GGA-PBE) on a relaxed PaB3W crystal.

space group: Cmcm, No. 63
E_tot: -8.974 eV per atom
formation enthalpy at 0 K: -0.48 eV per atom
M_tot: 0.000 μB/cell
crystal system: orthorhombic

abc: 3.2866 3.0989 11.7184
angles: 90.00 98.06 90.00
Last column: nearest neighbours and their distance in Å.
Element x y z (fractional)
B 0.3567 0.2500 0.7134  2 B 1.77
B 0.6433 0.7500 0.2866  2 B 1.77
B 0.6798 0.2500 0.3596  2 B 1.77
B 0.4885 0.2500 0.9770  2 B 1.64
B 0.5115 0.7500 0.0230  2 B 1.64
B 0.3202 0.7500 0.6404  2 B 1.77
W 0.2113 0.7500 0.4226  7 B 2.28-2.53
W 0.7887 0.2500 0.5774  7 B 2.28-2.53
Pa 0.9197 0.7500 0.8395  12 B 2.69-2.83
Pa 0.0803 0.2500 0.1605  12 B 2.69-2.83

=====

No. 12
VASP calculation (GGA-PBE) on a relaxed CePrEr crystal.

space group: P3m1, No. 156
E_tot: -5.014 eV per atom
formation enthalpy at 0 K: 0.08 eV per atom
M_tot: 0.619 μB/cell
crystal system: trigonal

abc: 3.5510 3.5510 8.7568
angles: 90.00 90.00 120.00
Last column: nearest neighbours and their distance in Å.
Element x y z (fractional)
Pr 0.0000 0.0000 0.9966  6 Pr 3.55, 3 Ce 3.58, 3 Er 3.65
Ce 0.3333 0.6667 0.6620  3 Er 3.48, 6 Ce 3.55, 3 Pr 3.58
Er 0.6667 0.3333 0.3414  3 Ce 3.48, 6 Er 3.55, 3 Pr 3.65